(w)
Entry from the Alexandria database: a relaxed RbInHgBi crystal (PBE-GGA).

```
data_RbInHgBi
_symmetry_space_group_name_H-M 'C 1 m 1'
_symmetry_Int_Tables_number 8
_symmetry_space_group_name_Hall 'C -2y'
_cell_length_a 11.008
_cell_length_b 4.852
_cell_length_c 5.799
_cell_angle_alpha 90.00
_cell_angle_beta 104.21
_cell_angle_gamma 90.00
loop_
_atom_site_label
_atom_site_fract_x
_atom_site_fract_y
_atom_site_fract_z
Rb1 0.000 0.000 0.000
In1 0.358 0.000 0.367
Hg1 0.270 0.000 0.835
Bi1 0.183 0.500 0.480
```

Computed properties:
- calculated volume (Å³ per cell) = 300.2
- ρ (kg/m3) = 6746
- DOS(E_F) (states/eV/cell) = 2.34
- spin magnetization (μB/cell) = 0.00

(x)
Entry from the Alexandria database: a relaxed RbInHgBi crystal (PBE-GGA).

```
data_RbInHgBi
_symmetry_space_group_name_H-M 'F -4 3 m'
_symmetry_Int_Tables_number 216
_symmetry_space_group_name_Hall 'F -4 2 3'
_cell_length_a 8.106
_cell_length_b 8.106
_cell_length_c 8.106
_cell_angle_alpha 90.00
_cell_angle_beta 90.00
_cell_angle_gamma 90.00
loop_
_atom_site_label
_atom_site_fract_x
_atom_site_fract_y
_atom_site_fract_z
Rb1 0.000 0.000 0.000
In1 0.250 0.250 0.750
Hg1 0.250 0.250 0.250
Bi1 0.000 0.000 0.500
```

Computed properties:
- calculated volume (Å³ per cell) = 532.7
- ρ (kg/m3) = 7605
- DOS(E_F) (states/eV/cell) = 13.03
- spin magnetization (μB/cell) = 0.00

Relative energies in meV/atom: (w) 0; (x) 24

(w)
Entry from the Alexandria database: a relaxed In2HgBiRu crystal (PBE-GGA).

```
data_In2HgBiRu
_symmetry_space_group_name_H-M 'P 4/m m m'
_symmetry_Int_Tables_number 123
_symmetry_space_group_name_Hall '-P 4 2'
_cell_length_a 5.238
_cell_length_b 5.238
_cell_length_c 5.223
_cell_angle_alpha 90.00
_cell_angle_beta 90.00
_cell_angle_gamma 90.00
loop_
_atom_site_label
_atom_site_fract_x
_atom_site_fract_y
_atom_site_fract_z
In1 0.000 0.500 0.000
Hg1 0.000 0.000 0.500
Bi1 0.500 0.500 0.500
Ru1 0.500 0.500 0.000
```

Computed properties:
- calculated volume (Å³ per cell) = 143.3
- ρ (kg/m3) = 8576
- DOS(E_F) (states/eV/cell) = 3.97
- spin magnetization (μB/cell) = 0.00

(x)
Entry from the Alexandria database: a relaxed In2HgBiRu crystal (PBE-GGA).

```
data_In2HgBiRu
_symmetry_space_group_name_H-M 'P 4/m m m'
_symmetry_Int_Tables_number 123
_symmetry_space_group_name_Hall '-P 4 2'
_cell_length_a 5.797
_cell_length_b 5.797
_cell_length_c 5.684
_cell_angle_alpha 90.00
_cell_angle_beta 90.00
_cell_angle_gamma 90.00
loop_
_atom_site_label
_atom_site_fract_x
_atom_site_fract_y
_atom_site_fract_z
In1 0.000 0.500 0.000
Hg1 0.000 0.000 0.500
Bi1 0.000 0.000 0.000
Ru1 0.500 0.500 0.500
```

Computed properties:
- calculated volume (Å³ per cell) = 191.0
- ρ (kg/m3) = 6434
- DOS(E_F) (states/eV/cell) = 5.93
- spin magnetization (μB/cell) = 2.45

Relative energies in meV/atom: (w) 0; (x) 1292

(w)
Entry from the Alexandria database: a relaxed InSnHgBi crystal (PBE-GGA).

```
data_InSnHgBi
_symmetry_space_group_name_H-M 'I 4 m m'
_symmetry_Int_Tables_number 107
_symmetry_space_group_name_Hall 'I 4 -2'
_cell_length_a 4.006
_cell_length_b 4.006
_cell_length_c 15.898
_cell_angle_alpha 90.00
_cell_angle_beta 90.00
_cell_angle_gamma 90.00
loop_
_atom_site_label
_atom_site_fract_x
_atom_site_fract_y
_atom_site_fract_z
In1 0.000 0.000 0.000
Sn1 0.000 0.000 0.781
Hg1 0.000 0.000 0.594
Bi1 0.000 0.000 0.368
```

Computed properties:
- calculated volume (Å³ per cell) = 255.1
- ρ (kg/m3) = 8373
- DOS(E_F) (states/eV/cell) = 3.22
- spin magnetization (μB/cell) = 0.00

(x)
Entry from the Alexandria database: a relaxed InSnHgBi crystal (PBE-GGA).

```
data_InSnHgBi
_symmetry_space_group_name_H-M 'F -4 3 m'
_symmetry_Int_Tables_number 216
_symmetry_space_group_name_Hall 'F -4 2 3'
_cell_length_a 7.750
_cell_length_b 7.750
_cell_length_c 7.750
_cell_angle_alpha 90.00
_cell_angle_beta 90.00
_cell_angle_gamma 90.00
loop_
_atom_site_label
_atom_site_fract_x
_atom_site_fract_y
_atom_site_fract_z
In1 0.000 0.000 0.000
Sn1 0.000 0.000 0.500
Hg1 0.250 0.250 0.250
Bi1 0.250 0.250 0.750
```

Computed properties:
- calculated volume (Å³ per cell) = 465.6
- ρ (kg/m3) = 9175
- DOS(E_F) (states/eV/cell) = 13.16
- spin magnetization (μB/cell) = 0.00

Relative energies in meV/atom: (w) 23; (x) 0

(w)
Entry from the Alexandria database: a relaxed SrInHgBi crystal (PBE-GGA).

```
data_SrInHgBi
_symmetry_space_group_name_H-M 'F -4 3 m'
_symmetry_Int_Tables_number 216
_symmetry_space_group_name_Hall 'F -4 2 3'
_cell_length_a 7.999
_cell_length_b 7.999
_cell_length_c 7.999
_cell_angle_alpha 90.00
_cell_angle_beta 90.00
_cell_angle_gamma 90.00
loop_
_atom_site_label
_atom_site_fract_x
_atom_site_fract_y
_atom_site_fract_z
Sr1 0.000 0.000 0.000
In1 0.000 0.000 0.500
Hg1 0.250 0.250 0.750
Bi1 0.250 0.250 0.250
```

Computed properties:
- calculated volume (Å³ per cell) = 511.8
- ρ (kg/m3) = 7943
- DOS(E_F) (states/eV/cell) = 4.84
- spin magnetization (μB/cell) = 0.00

(x)
Entry from the Alexandria database: a relaxed SrInHgBi crystal (PBE-GGA).

```
data_SrInHgBi
_symmetry_space_group_name_H-M 'P m m m'
_symmetry_Int_Tables_number 47
_symmetry_space_group_name_Hall '-P 2 2'
_cell_length_a 4.606
_cell_length_b 4.989
_cell_length_c 5.246
_cell_angle_alpha 90.00
_cell_angle_beta 90.00
_cell_angle_gamma 90.00
loop_
_atom_site_label
_atom_site_fract_x
_atom_site_fract_y
_atom_site_fract_z
Sr1 0.000 0.000 0.000
In1 0.000 0.500 0.500
Hg1 0.500 0.000 0.500
Bi1 0.500 0.500 0.000
```

Computed properties:
- calculated volume (Å³ per cell) = 120.6
- ρ (kg/m3) = 8430
- DOS(E_F) (states/eV/cell) = 1.40
- spin magnetization (μB/cell) = 0.00

Relative energies in meV/atom: (w) 20; (x) 0

(w)
Entry from the Alexandria database: a relaxed ThInHgBi crystal (PBE-GGA).

```
data_ThInHgBi
_symmetry_space_group_name_H-M 'P m m m'
_symmetry_Int_Tables_number 47
_symmetry_space_group_name_Hall '-P 2 2'
_cell_length_a 4.661
_cell_length_b 4.690
_cell_length_c 5.062
_cell_angle_alpha 90.00
_cell_angle_beta 90.00
_cell_angle_gamma 90.00
loop_
_atom_site_label
_atom_site_fract_x
_atom_site_fract_y
_atom_site_fract_z
Th1 0.000 0.000 0.000
In1 0.000 0.500 0.500
Hg1 0.500 0.000 0.500
Bi1 0.500 0.500 0.000
```

Computed properties:
- calculated volume (Å³ per cell) = 110.7
- ρ (kg/m3) = 11352
- DOS(E_F) (states/eV/cell) = 2.27
- spin magnetization (μB/cell) = 0.00

(x)
Entry from the Alexandria database: a relaxed ThInHgBi crystal (PBE-GGA).

```
data_ThInHgBi
_symmetry_space_group_name_H-M 'F -4 3 m'
_symmetry_Int_Tables_number 216
_symmetry_space_group_name_Hall 'F -4 2 3'
_cell_length_a 7.703
_cell_length_b 7.703
_cell_length_c 7.703
_cell_angle_alpha 90.00
_cell_angle_beta 90.00
_cell_angle_gamma 90.00
loop_
_atom_site_label
_atom_site_fract_x
_atom_site_fract_y
_atom_site_fract_z
Th1 0.000 0.000 0.000
In1 0.000 0.000 0.500
Hg1 0.250 0.250 0.750
Bi1 0.250 0.250 0.250
```

Computed properties:
- calculated volume (Å³ per cell) = 457.2
- ρ (kg/m3) = 10990
- DOS(E_F) (states/eV/cell) = 9.37
- spin magnetization (μB/cell) = 0.00

Relative energies in meV/atom: (w) 0; (x) 187

(w)
Entry from the Alexandria database: a relaxed K4Hg2Bi crystal (PBE-GGA).

```
data_K4Hg2Bi
_symmetry_space_group_name_H-M 'I 4/m m m'
_symmetry_Int_Tables_number 139
_symmetry_space_group_name_Hall '-I 4 2'
_cell_length_a 6.676
_cell_length_b 6.676
_cell_length_c 19.977
_cell_angle_alpha 90.00
_cell_angle_beta 90.00
_cell_angle_gamma 90.00
loop_
_atom_site_label
_atom_site_fract_x
_atom_site_fract_y
_atom_site_fract_z
K1 0.000 0.000 0.178
K2 0.000 0.500 0.000
Hg1 0.000 0.000 0.348
Bi1 0.000 0.000 0.500
```

Computed properties:
- calculated volume (Å³ per cell) = 890.2
- ρ (kg/m3) = 2860
- DOS(E_F) (states/eV/cell) = 9.99
- spin magnetization (μB/cell) = 0.00

(x)
Entry from the Alexandria database: a relaxed K4Hg2Bi crystal (PBE-GGA).

```
data_K4Hg2Bi
_symmetry_space_group_name_H-M 'R -3 m'
_symmetry_Int_Tables_number 166
_symmetry_space_group_name_Hall '-R 3 2"'
_cell_length_a 5.9803
_cell_length_b 5.9803
_cell_length_c 28.8539
_cell_angle_alpha 90.00
_cell_angle_beta 90.00
_cell_angle_gamma 120.00
loop_
_atom_site_label
_atom_site_fract_x
_atom_site_fract_y
_atom_site_fract_z
K1 0.0000 0.0000 0.1234
K2 0.0000 0.0000 0.3747
Hg1 0.0000 0.0000 0.2530
Bi1 0.0000 0.0000 0.0000
```

Computed properties:
- calculated volume (Å³ per cell) = 893.7
- ρ (kg/m3) = 4273
- DOS(E_F) (states/eV/cell) = 11.80
- spin magnetization (μB/cell) = 1.26

Relative energies in meV/atom: (w) 175; (x) 0